1.
## Cs2RbU2S5 (PBE)

Data for Cs2RbU2S5 after structural relaxation.

Calculated values
- Total energy: -0.215 Ha/atom
- Volume: 610.2 Å³ per cell

Cell lengths 12.879, 12.879, 3.679 Å; angles 90.00, 90.00, 90.00 degrees
Space group P4/mbm (No. 127)
Symmetry-distinct sites (fractional):
Cs 0.184 0.316 0.000 x4
Rb 0.000 0.000 0.000 x2
U 0.115 0.615 0.000 x4
S 0.000 0.500 0.500 x2
S 0.070 0.765 0.500 x8



2.
## AgPt3S (PBE)

Data for AgPt3S after structural relaxation.

Calculated values
- Excess energy over the best structure of this formula in the dataset: 1.543 eV/atom
- Total energy: -0.118 Ha/atom
- Volume: 116.6 Å³ per cell

Cell lengths 4.885, 4.885, 4.885 Å; angles 90.00, 90.00, 90.00 degrees
Space group Pm-3m (No. 221)
Symmetry-distinct sites (fractional):
Ag 0.000 0.000 0.000 x1
Pt 0.000 0.000 0.500 x3
S 0.500 0.500 0.500 x1



Formation energy from raw total energies list, top to bottom, in eV/atom: -1.262; 1.815